Sr2MgZn | PBE | optimized geometry

a b c (Å): 5.768 3.989 5.769
angles (deg): 90.01 90.00 90.00
Sites, in units of the cell vectors:
Mg (0.500, 0.626, 0.875)
Sr (0.000, 0.125, 0.875)
Sr (0.500, 0.125, 0.375)
Zn (0.000, 0.624, 0.375)

Summary:
formation enthalpy at 0 K = -91 meV per atom
symmetry = No. 99
excess energy over the best structure of this formula in the dataset = 28 meV per atom
density of states at the Fermi level = 3.35 states/eV per cell
total moment = 0.0 μB/cell
theoretical density = 3.315 g/cm3